# 1
# Ba2LiCdPd

An optimized crystal structure of Ba2LiCdPd (PBE, the Alexandria database).

a = 6.1651 Å, b = 6.1651 Å, c = 4.9423 Å
α = 90.00°, β = 90.00°, γ = 90.00°
Atoms (fractional coordinates):
Li 0.0000 0.0000 0.5000
Ba 0.0000 0.5000 0.0000
Ba 0.5000 0.0000 0.0000
Pd 0.0000 0.0000 0.0000
Cd 0.5000 0.5000 0.5000

- energy above the lowest structure with this stoichiometry (eV/atom) = 0.000

***

# 2
# Ba2LiCdPd

An optimized crystal structure of Ba2LiCdPd (PBE, the Alexandria database).

a = 6.1501 Å, b = 6.1501 Å, c = 5.3434 Å
α = 90.00°, β = 90.00°, γ = 90.00°
Atoms (fractional coordinates):
Li 0.5000 0.5000 0.5000
Ba 0.0000 0.5000 0.0000
Ba 0.5000 0.0000 0.0000
Pd 0.0000 0.0000 0.0000
Cd 0.0000 0.0000 0.5000

- energy above the lowest structure with this stoichiometry (eV/atom) = 0.023

***

# 3
# Ba2Li2CdPd5

An optimized crystal structure of Ba2Li2CdPd5 (PBE, the Alexandria database).

a = 3.9527 Å, b = 10.0635 Å, c = 10.0635 Å
α = 90.00°, β = 90.00°, γ = 90.00°
Atoms (fractional coordinates):
Ba 0.0000 0.6832 0.1832
Ba 0.0000 0.3168 0.8168
Ba 0.0000 0.1832 0.3168
Ba 0.0000 0.8168 0.6832
Li 0.0000 0.1153 0.6153
Li 0.0000 0.8847 0.3847
Li 0.0000 0.6153 0.8847
Li 0.0000 0.3847 0.1153
Cd 0.0000 0.0000 0.0000
Cd 0.0000 0.5000 0.5000
Pd 0.5000 0.2112 0.0584
Pd 0.5000 0.7888 0.9416
Pd 0.5000 0.0584 0.7888
Pd 0.5000 0.7112 0.4416
Pd 0.5000 0.9416 0.2112
Pd 0.5000 0.2888 0.5584
Pd 0.5000 0.5584 0.7112
Pd 0.5000 0.4416 0.2888
Pd 0.5000 0.5000 0.0000
Pd 0.5000 0.0000 0.5000

***

# 4
# BaLi2CdPd

An optimized crystal structure of BaLi2CdPd (PBE, the Alexandria database).

a = 5.0426 Å, b = 5.0426 Å, c = 5.3320 Å
α = 90.00°, β = 90.00°, γ = 90.00°
Atoms (fractional coordinates):
Li 0.0000 0.5000 0.0000
Li 0.5000 0.0000 0.0000
Ba 0.5000 0.5000 0.5000
Pd 0.0000 0.0000 0.0000
Cd 0.0000 0.0000 0.5000

- energy above the lowest structure with this stoichiometry (eV/atom) = 0.000

***

# 5
# Ba2LiCdPd6

An optimized crystal structure of Ba2LiCdPd6 (PBE, the Alexandria database).

a = 6.9323 Å, b = 6.7453 Å, c = 6.9300 Å
α = 59.40°, β = 59.90°, γ = 90.23°
Atoms (fractional coordinates):
Ba 0.1914 0.5746 0.6168
Ba 0.8086 0.4254 0.3832
Li 0.0000 0.0000 0.0000
Cd 0.5000 0.5000 0.0000
Pd 0.3821 0.9088 0.7752
Pd 0.6851 0.9121 0.9312
Pd 0.1577 0.0891 0.5281
Pd 0.6179 0.0912 0.2248
Pd 0.3149 0.0879 0.0688
Pd 0.8423 0.9109 0.4719

***

# 6
# Ba2LiCd6Pd

An optimized crystal structure of Ba2LiCd6Pd (PBE, the Alexandria database).

a = 7.4025 Å, b = 7.4025 Å, c = 7.3919 Å
α = 60.02°, β = 60.02°, γ = 90.12°
Atoms (fractional coordinates):
Ba 0.2502 0.7498 0.5000
Ba 0.7498 0.2502 0.5000
Li 0.5000 0.5000 0.0000
Cd 0.2553 0.7447 0.0000
Cd 0.7448 0.7448 0.9995
Cd 0.2555 0.2555 0.4888
Cd 0.7447 0.2553 0.0000
Cd 0.2552 0.2552 0.0005
Cd 0.7445 0.7445 0.5112
Pd 0.0000 0.0000 0.0000

***

# 7
# BaLiCd2Pd

An optimized crystal structure of BaLiCd2Pd (PBE, the Alexandria database).

a = 4.4547 Å, b = 4.4569 Å, c = 7.2494 Å
α = 107.75°, β = 107.89°, γ = 90.00°
Atoms (fractional coordinates):
Ba 0.4245 0.4245 0.8491
Li 0.2038 0.7036 0.4075
Cd 0.6998 0.2007 0.3995
Cd 0.0503 0.0490 0.1005
Pd 0.8338 0.8342 0.6676

- energy above the lowest structure with this stoichiometry (eV/atom) = 0.000

***

# 8
# BaLi2CdPd

An optimized crystal structure of BaLi2CdPd (PBE, the Alexandria database).

a = 5.8728 Å, b = 5.3520 Å, c = 5.8728 Å
α = 90.00°, β = 90.00°, γ = 90.00°
Atoms (fractional coordinates):
Li 0.0000 0.0000 0.5000
Li 0.5000 0.0000 0.0000
Ba 0.0000 0.0000 0.0000
Pd 0.0000 0.5000 0.0000
Cd 0.5000 0.5000 0.5000

- energy above the lowest structure with this stoichiometry (eV/atom) = 1.020

***

Record order is preserved below.
Theoretical density: 4.42; 4.11; 7.74; 4.53; 7.58; 6.16; 6.09; 3.33 Mg/m³
Record order is preserved below.
Total energy: -0.1930; -0.1912; -0.2851; -0.1913; -0.3073; -0.1388; -0.1871; -0.1164 Ry/atom
Record order is preserved below.
Total magnetic moment: 0.0; 0.0; 0.0; 0.0; 0.0; 0.0; 0.0; 0.0 μB/cell